Record 1
Computed, not measured: a geometry-optimized LaGdZn6Ge3 structure at the PBE-GGA level of DFT.

Structure (extended XYZ):
```
11
Lattice="7.6720 0.0000 0.0000 -3.8360 6.6441 0.0000 0.0000 0.0000 4.0990" Properties=species:S:1:pos:R:3 pbc="T T T"
La 0.0000 0.0000 0.0000
Gd 3.8360 2.2147 0.0000
Zn -2.2000 4.4455 2.0495
Zn -0.7835 3.2023 0.0000
Zn 1.0860 2.5161 2.0495
Zn -0.6709 5.7215 0.0000
Zn 1.4545 4.3644 0.0000
Zn 1.1140 6.3266 2.0495
Ge 2.4005 0.3598 2.0495
Ge 2.9473 4.3854 2.0495
Ge 6.1602 1.8990 2.0495
```

Summary:
symmetry = P-6, No. 174
total DFT energy (no corrections) = -3.248 eV per atom

Record 2
Computed, not measured: a geometry-optimized LaGdZn6Ge3 structure at the PBE-GGA level of DFT.

Structure (extended XYZ):
```
22
Lattice="4.0916 0.0000 0.0000 0.0000 13.2800 0.0000 0.0000 0.0000 7.6718" Properties=species:S:1:pos:R:3 pbc="T T T"
La 0.0000 1.1319 0.0000
La 0.0000 12.1481 3.8359
Gd 0.0000 5.5590 7.6621
Gd 0.0000 7.7210 3.8262
Zn 0.0000 2.0787 3.1329
Zn 0.0000 3.3775 5.2863
Zn 0.0000 4.5978 3.0751
Zn 0.0000 8.6821 6.9110
Zn 0.0000 9.9025 1.4504
Zn 0.0000 11.2012 6.9688
Zn 2.0458 1.4357 4.9501
Zn 2.0458 3.3604 1.6314
Zn 2.0458 5.2416 4.9057
Zn 2.0458 8.0383 1.0698
Zn 2.0458 9.9195 5.4673
Zn 2.0458 11.8442 1.1142
Ge 2.0458 0.7975 2.3773
Ge 2.0458 3.3847 6.7785
Ge 2.0458 5.8946 2.3394
Ge 2.0458 7.3854 6.1754
Ge 2.0458 9.8953 2.9426
Ge 2.0458 12.4825 6.2132
```

Summary:
symmetry = Pmc2_1, No. 26
total DFT energy (no corrections) = -3.246 eV per atom

Question: Number 1 is which compound?
Answer: LaGdZn6Ge3